No. 1
! Sm2Y6TmTh, optimized geometry, DFT PBE; values from VASP
&SYSTEM
  ibrav = 0, nat = 20, ntyp = 4
/
ATOMIC_SPECIES
Th 232.04 Th.upf
Y 88.91 Y.upf
Sm 150.36 Sm.upf
Tm 168.93 Tm.upf
CELL_PARAMETERS angstrom
9.235 -2.167 -2.249
0.748 8.494 -1.924
0.748 -2.237 8.417
ATOMIC_POSITIONS angstrom
Th 7.674 -3.635 6.511
Y 8.757 -0.513 1.709
Y 9.563 4.886 -1.688
Y 5.785 4.874 -1.700
Y 8.584 -0.354 5.624
Th 3.057 7.725 -2.267
Y 3.967 6.717 0.979
Sm 5.432 -0.181 0.843
Y 6.592 1.280 3.569
Sm 5.299 4.270 3.402
Sm 0.814 1.932 0.975
Y 4.946 -0.785 5.944
Y 2.147 4.444 -1.380
Tm 7.674 2.516 0.584
Sm 9.917 2.158 3.269
Y 1.168 -0.796 5.932
Tm 3.057 1.574 3.660
Y 6.764 -2.627 3.266
Y 1.974 4.603 2.536
Y 4.140 2.810 0.675
! magnetic moment	0.00	μB/cell
! energy relative to the elements	0.15	eV/atom


No. 2
! Cs2RbLiBr6, optimized geometry, DFT PBE; values from VASP
&SYSTEM
  ibrav = 0, nat = 10, ntyp = 4
/
ATOMIC_SPECIES
Br 79.90 Br.upf
Rb 85.47 Rb.upf
Cs 132.91 Cs.upf
Li 6.94 Li.upf
CELL_PARAMETERS angstrom
8.377 0.000 0.000
0.000 8.377 0.000
4.189 4.189 5.926
ATOMIC_POSITIONS angstrom
Br 8.377 8.377 3.281
Br 6.057 6.057 0.000
Br 2.321 6.057 0.000
Br 6.057 2.321 0.000
Rb 0.000 0.000 0.000
Cs 4.189 8.377 2.963
Br 4.189 4.189 2.645
Li 4.189 4.189 0.000
Br 2.321 2.321 0.000
Cs 8.377 4.189 2.963
! ΔE_f (raw)	-11.8	eV per formula unit
! magnetic moment	2.00	μB/cell